Record 1
Here is an optimized crystal structure of Li7OsO6 from the Alexandria database. Energies are from PBE.

Structure (CIF):
```
data_Li7OsO6
_chemical_formula_sum 'Li7 Os1 O6'
_cell_length_a 5.3647
_cell_length_b 5.4571
_cell_length_c 5.8459
_cell_angle_alpha 90.98
_cell_angle_beta 115.93
_cell_angle_gamma 119.29
_space_group_name_H-M_alt 'P 1'
_space_group_IT_number 1
loop_
_space_group_symop_operation_xyz
'x,y,z'
loop_
_atom_site_label
_atom_site_fract_x
_atom_site_fract_y
_atom_site_fract_z
Li1 0.0000 0.0000 0.0000
Li2 0.0448 0.8538 0.4274
Li3 0.1490 0.2537 0.7259
Li4 0.4536 0.7513 0.0129
Li5 0.5898 0.1263 0.3787
Li6 0.6863 0.3541 0.0069
Li7 0.8967 0.5974 0.7406
Os1 0.3047 0.5036 0.3847
O1 0.1415 0.7264 0.1427
O2 0.1616 0.5871 0.6209
O3 0.4142 0.3938 0.1244
O4 0.4528 0.2772 0.6115
O5 0.7669 0.8635 0.6032
O6 0.8511 0.1303 0.1824
```

* uncorrected energy: -78.126 eV per cell
* total magnetization: 3.000 μB per cell
* ΔE_f (raw): -1696 meV per atom

Record 2
Here is an optimized crystal structure of CoNi6Pt8 from the Alexandria database. Energies are from PBE.

Structure (CIF):
```
data_CoNi6Pt8
_chemical_formula_sum 'Co1 Ni6 Pt8'
_cell_length_a 7.0701
_cell_length_b 7.0701
_cell_length_c 5.1293
_cell_angle_alpha 90.00
_cell_angle_beta 90.00
_cell_angle_gamma 120.00
_space_group_name_H-M_alt 'P -3'
_space_group_IT_number 147
loop_
_space_group_symop_operation_xyz
'x,y,z'
'-x,-y,-z'
'-y,x-y,z'
'y,-x+y,-z'
'-x+y,-x,z'
'x-y,x,-z'
loop_
_atom_site_label
_atom_site_fract_x
_atom_site_fract_y
_atom_site_fract_z
Co1 0.0000 0.0000 0.0000
Ni1 0.0209 0.3372 0.8599
Pt1 0.0130 0.3349 0.3618
Pt2 0.3333 0.6667 0.0773
```

* uncorrected energy: -88.188 eV per cell
* total magnetization: 9.482 μB per cell
* energy of formation from the pure elements: 12.4 kJ per mole of atoms

Record 3
Here is an optimized crystal structure of NaSmPt from the Alexandria database. Energies are from PBE.

Structure (CIF):
```
data_NaSmPt
_chemical_formula_sum 'Na8 Sm8 Pt8'
_cell_length_a 5.7849
_cell_length_b 5.8783
_cell_length_c 17.8880
_cell_angle_alpha 90.00
_cell_angle_beta 90.00
_cell_angle_gamma 90.00
_space_group_name_H-M_alt 'F m m m'
_space_group_IT_number 69
_space_group_name_Hall '-F 2 2'
loop_
_atom_site_label
_atom_site_fract_x
_atom_site_fract_y
_atom_site_fract_z
Na1 0.0000 0.2394 0.0000
Sm1 0.0000 0.0000 0.3175
Pt1 0.0000 0.0000 0.1535
```

* uncorrected energy: -111.810 eV per cell
* total magnetization: 0.000 μB per cell
* energy of formation from the pure elements: -61.0 kJ per mole of atoms

Record 4
Here is an optimized crystal structure of UPa4S5 from the Alexandria database. Energies are from PBE.

Structure (CIF):
```
data_UPa4S5
_chemical_formula_sum 'U2 Pa8 S10'
_cell_length_a 8.7108
_cell_length_b 8.7108
_cell_length_c 5.5071
_cell_angle_alpha 90.00
_cell_angle_beta 90.00
_cell_angle_gamma 90.00
_space_group_name_H-M_alt 'I 4/m'
_space_group_IT_number 87
_space_group_name_Hall '-I 4'
loop_
_atom_site_label
_atom_site_fract_x
_atom_site_fract_y
_atom_site_fract_z
U1 0.0000 0.0000 0.0000
Pa1 0.1000 0.3000 0.5000
S1 0.0000 0.0000 0.5000
S2 0.0998 0.2989 0.0000
```

* uncorrected energy: -170.951 eV per cell
* total magnetization: 9.046 μB per cell
* ΔE_f (raw): -1557 meV per atom

Record 5
Here is an optimized crystal structure of Pr4Nd11Ho9 from the Alexandria database. Energies are from PBE.

Structure (CIF):
```
data_Pr4Nd11Ho9
_chemical_formula_sum 'Pr8 Nd22 Ho18'
_cell_length_a 17.0346
_cell_length_b 25.7189
_cell_length_c 3.7333
_cell_angle_alpha 90.00
_cell_angle_beta 90.00
_cell_angle_gamma 90.00
_space_group_name_H-M_alt 'C m m m'
_space_group_IT_number 65
_space_group_name_Hall '-C 2 2'
loop_
_atom_site_label
_atom_site_fract_x
_atom_site_fract_y
_atom_site_fract_z
Pr1 0.1555 0.1006 0.0000
Nd1 0.0000 0.1342 0.5000
Nd2 0.0000 0.3405 0.5000
Nd3 0.0000 0.5000 0.5000
Nd4 0.2115 0.0000 0.5000
Nd5 0.2250 0.3188 0.5000
Ho1 0.0000 0.0000 0.0000
Ho2 0.1009 0.2356 0.0000
Ho3 0.1375 0.4268 0.0000
```

* uncorrected energy: -222.340 eV per cell
* total magnetization: 0.000 μB per cell
* energy of formation from the pure elements: 6.4 kJ per mole of atoms

Record 6
Here is an optimized crystal structure of Y2SiSn2 from the Alexandria database. Energies are from PBE.

Structure (CIF):
```
data_Y2SiSn2
_chemical_formula_sum 'Y4 Si2 Sn4'
_cell_length_a 7.6140
_cell_length_b 7.6140
_cell_length_c 4.6652
_cell_angle_alpha 90.00
_cell_angle_beta 90.00
_cell_angle_gamma 90.00
_space_group_name_H-M_alt 'P 4/m b m'
_space_group_IT_number 127
_space_group_name_Hall '-P 4 2ab'
loop_
_atom_site_label
_atom_site_fract_x
_atom_site_fract_y
_atom_site_fract_z
Y1 0.1724 0.3276 0.0000
Si1 0.0000 0.0000 0.0000
Sn1 0.1374 0.6374 0.5000
```

* uncorrected energy: -57.110 eV per cell
* total magnetization: 0.000 μB per cell
* distance to the lowest polymorph of the same formula: 0 meV/atom
* ΔE_f (raw): -440 meV per atom

Record 7
Here is an optimized crystal structure of Pr7Tm12Tl from the Alexandria database. Energies are from PBE.

Structure (CIF):
```
data_Pr7Tm12Tl
_chemical_formula_sum 'Pr21 Tm36 Tl3'
_cell_length_a 12.2701
_cell_length_b 12.2701
_cell_length_c 15.2842
_cell_angle_alpha 90.00
_cell_angle_beta 90.00
_cell_angle_gamma 120.00
_space_group_name_H-M_alt 'R -3'
_space_group_IT_number 148
_space_group_name_Hall '-R 3'
loop_
_atom_site_label
_atom_site_fract_x
_atom_site_fract_y
_atom_site_fract_z
Pr1 0.0000 0.0000 0.0000
Pr2 0.0129 0.5807 0.7036
Tm1 0.0331 0.8471 0.8074
Tm2 0.0713 0.2573 0.4226
Tl1 0.0000 0.0000 0.5000
```

* uncorrected energy: -257.902 eV per cell
* total magnetization: 0.012 μB per cell
* energy of formation from the pure elements: 16.9 kJ per mole of atoms

Record 8
Here is an optimized crystal structure of TbSe3O9 from the Alexandria database. Energies are from PBE.

Structure (CIF):
```
data_TbSe3O9
_chemical_formula_sum 'Tb4 Se12 O36'
_cell_length_a 14.5543
_cell_length_b 8.3577
_cell_length_c 10.3611
_cell_angle_alpha 90.00
_cell_angle_beta 126.89
_cell_angle_gamma 90.00
_space_group_name_H-M_alt 'C 1 c 1'
_space_group_IT_number 9
loop_
_space_group_symop_operation_xyz
'x,y,z'
'x,-y,z+1/2'
'x+1/2,y+1/2,z'
'x+1/2,-y+1/2,z+1/2'
loop_
_atom_site_label
_atom_site_fract_x
_atom_site_fract_y
_atom_site_fract_z
Tb1 0.0000 0.2370 0.0000
Se1 0.1405 0.1208 0.7995
Se2 0.2411 0.4712 0.7481
Se3 0.3422 0.0411 0.6387
O1 0.0686 0.1059 0.8784
O2 0.1217 0.0579 0.2083
O3 0.1631 0.3984 0.8102
O4 0.1673 0.3708 0.1315
O5 0.2579 0.3300 0.6545
O6 0.2884 0.1128 0.9661
O7 0.3661 0.4578 0.4099
O8 0.4163 0.0891 0.2923
O9 0.4399 0.1298 0.6262
```

* uncorrected energy: -299.957 eV per cell
* total magnetization: 3.948 μB per cell
* ΔE_f (raw): -1175 meV per atom